[1]
Here is a geometry-optimized NdAl2Zn4Ag structure from the Alexandria database. Energies are from PBE-GGA.

a b c (Å): 4.3820 4.3820 26.6424
angles (deg): 90.00 90.00 120.00
Space group R-3m (No. 166, hexagonal axes)
One atom of each set of equivalent atoms:
Nd  0.0000  0.0000  0.0000 x3
Al  0.0000  0.0000  0.2493 x6
Zn  0.0000  0.0000  0.1251 x6
Zn  0.0000  0.0000  0.3988 x6
Ag  0.0000  0.0000  0.5000 x3

Calculated values
Formation enthalpy at 0 K, meV/atom: -164
Density, g/cm³: 6.38
Raw total energy, eV per atom: -2.6895



[2]
Here is a geometry-optimized Nd2Al4Zn3Ag structure from the Alexandria database. Energies are from PBE-GGA.

a b c (Å): 4.289 4.289 10.780
angles (deg): 90.00 90.00 90.00
Space group P-4m2 (No. 115)
One atom of each set of equivalent atoms:
Nd  0.000  0.500  0.245 x2
Al  0.000  0.000  0.000 x1
Al  0.000  0.500  0.635 x2
Al  0.500  0.500  0.000 x1
Zn  0.000  0.500  0.865 x2
Zn  0.500  0.500  0.500 x1
Ag  0.000  0.000  0.500 x1

Calculated values
Formation enthalpy at 0 K, meV/atom: -398
Density, g/cm³: 5.87
Raw total energy, eV per atom: -3.5159



[3]
Here is a geometry-optimized Nd4AlZn2Ag structure from the Alexandria database. Energies are from PBE-GGA.

a b c (Å): 5.2458 5.2458 25.8719
angles (deg): 90.00 90.00 120.00
Space group R-3m (No. 166, hexagonal axes)
One atom of each set of equivalent atoms:
Nd  0.0000  0.0000  0.1241 x6
Nd  0.0000  0.0000  0.3745 x6
Al  0.0000  0.0000  0.0000 x3
Zn  0.0000  0.0000  0.2518 x6
Ag  0.0000  0.0000  0.5000 x3

Calculated values
Formation enthalpy at 0 K, meV/atom: -302
Density, g/cm³: 6.81
Raw total energy, eV per atom: -3.8288



[4]
Here is a geometry-optimized Nd2Al6ZnAg structure from the Alexandria database. Energies are from PBE-GGA.

a b c (Å): 6.3942 6.3942 36.3674
angles (deg): 90.00 90.00 120.00
Space group R-3m (No. 166, hexagonal axes)
One atom of each set of equivalent atoms:
Nd  0.0000  0.0000  0.1390 x6
Nd  0.0000  0.0000  0.3121 x6
Al  0.0521  0.5261  0.7236 x18
Al  0.0621  0.5310  0.8825 x18
Zn  0.0000  0.0000  0.4205 x6
Ag  0.0000  0.0000  0.0000 x3
Ag  0.0000  0.0000  0.5000 x3

Calculated values
Formation enthalpy at 0 K, meV/atom: -112
Density, g/cm³: 4.83
Raw total energy, eV per atom: -3.7235



[5]
Here is a geometry-optimized NdAlZn4Ag2 structure from the Alexandria database. Energies are from PBE-GGA.

a b c (Å): 4.4075 4.4075 26.9409
angles (deg): 90.00 90.00 120.00
Space group R-3m (No. 166, hexagonal axes)
One atom of each set of equivalent atoms:
Nd  0.0000  0.0000  0.0000 x3
Al  0.0000  0.0000  0.5000 x3
Zn  0.0000  0.0000  0.1258 x6
Zn  0.0000  0.0000  0.3976 x6
Ag  0.0000  0.0000  0.2406 x6

Calculated values
Formation enthalpy at 0 K, meV/atom: -124
Density, g/cm³: 7.13
Raw total energy, eV per atom: -2.5377



[6]
Here is a geometry-optimized Nd2Al3Zn4Ag structure from the Alexandria database. Energies are from PBE-GGA.

a b c (Å): 4.291 4.291 10.791
angles (deg): 90.00 90.00 90.00
Space group P-4m2 (No. 115)
One atom of each set of equivalent atoms:
Nd  0.000  0.500  0.244 x2
Al  0.000  0.500  0.868 x2
Al  0.500  0.500  0.500 x1
Zn  0.000  0.000  0.000 x1
Zn  0.000  0.500  0.639 x2
Zn  0.500  0.500  0.000 x1
Ag  0.000  0.000  0.500 x1

Calculated values
Formation enthalpy at 0 K, meV/atom: -353
Density, g/cm³: 6.18
Raw total energy, eV per atom: -3.2238



[7]
Here is a geometry-optimized NdZrAlAg structure from the Alexandria database. Energies are from PBE-GGA.

a b c (Å): 7.186 7.186 7.186
angles (deg): 90.00 90.00 90.00
Space group F-43m (No. 216)
One atom of each set of equivalent atoms:
Nd  0.000  0.000  0.000 x4
Zr  0.000  0.000  0.500 x4
Al  0.250  0.250  0.250 x4
Ag  0.250  0.250  0.750 x4

Calculated values
Formation enthalpy at 0 K, meV/atom: -141
Density, g/cm³: 6.63
Raw total energy, eV per atom: -5.1187



[8]
Here is a geometry-optimized AlNiAg structure from the Alexandria database. Energies are from PBE-GGA.

a b c (Å): 12.669 2.829 4.898
angles (deg): 90.00 90.00 90.00
Space group Amm2 (No. 38)
One atom of each set of equivalent atoms:
Al  0.000  0.000  0.000 x2
Al  0.500  0.000  0.332 x2
Ni  0.143  0.000  0.333 x4
Ag  0.319  0.000  0.999 x4

Calculated values
Formation enthalpy at 0 K, meV/atom: -78
Polymorph energy (0 for the lowest one), eV/f.u.: 0.45
Density, g/cm³: 7.32
Raw total energy, eV per atom: -4.2027



[9]
Here is a geometry-optimized Al2NiAg structure from the Alexandria database. Energies are from PBE-GGA.

a b c (Å): 2.842 2.842 7.396
angles (deg): 90.00 90.00 90.00
Space group P4mm (No. 99)
One atom of each set of equivalent atoms:
Al  0.000  0.000  0.000 x1
Al  0.500  0.500  0.276 x1
Ni  0.000  0.000  0.464 x1
Ag  0.500  0.500  0.725 x1

Calculated values
Formation enthalpy at 0 K, meV/atom: -134
Polymorph energy (0 for the lowest one), eV/f.u.: 0.86
Density, g/cm³: 6.13
Raw total energy, eV per atom: -4.1635



[10]
Here is a geometry-optimized AlNiAg2 structure from the Alexandria database. Energies are from PBE-GGA.

a b c (Å): 4.116 4.193 7.087
angles (deg): 90.00 90.00 90.00
Space group Cmmm (No. 65)
One atom of each set of equivalent atoms:
Al  0.000  0.000  0.000 x2
Ni  0.000  0.000  0.500 x2
Ag  0.000  0.500  0.258 x4

Calculated values
Formation enthalpy at 0 K, meV/atom: 112
Density, g/cm³: 8.19
Raw total energy, eV per atom: -3.6947



[11]
Here is a geometry-optimized AlNiAg2 structure from the Alexandria database. Energies are from PBE-GGA.

a b c (Å): 3.044 4.459 9.055
angles (deg): 90.00 90.00 90.00
Space group Immm (No. 71)
One atom of each set of equivalent atoms:
Al  0.000  0.000  0.000 x2
Ni  0.000  0.000  0.500 x2
Ag  0.000  0.500  0.252 x4

Calculated values
Formation enthalpy at 0 K, meV/atom: -7
Density, g/cm³: 8.14
Raw total energy, eV per atom: -3.8135



[12]
Here is a geometry-optimized AlNiAg2 structure from the Alexandria database. Energies are from PBE-GGA.

a b c (Å): 2.8531 2.8531 26.5321
angles (deg): 90.00 90.00 120.00
Space group R-3m (No. 166, hexagonal axes)
One atom of each set of equivalent atoms:
Al  0.0000  0.0000  0.0000 x3
Ni  0.0000  0.0000  0.5000 x3
Ag  0.0000  0.0000  0.2481 x6

Calculated values
Formation enthalpy at 0 K, meV/atom: 181
Density, g/cm³: 8.03
Raw total energy, eV per atom: -3.6253



- Among the records above, which one has the highest density?
  number 10